The following is a GGA-PBE calculation of a geometry-optimized ThMg2Fe9 structure, from Alexandria.

Summary:
- ΔE_f: 16.4 meV/atom
- Spin magnetization: 18.8 Bohr magnetons per cell
- Density: 7.53 g/cm³
- E_tot: -7.215 eV per atom
- Density of states at the Fermi level: 1.011 states/eV per atom
- Space group: No. 166

Geometry as CIF:
```
data_ThMg2Fe9
_chemical_formula_sum 'Th1 Mg2 Fe9'
_space_group_name_H-M_alt 'P 1'
_space_group_IT_number 1
_space_group_name_Hall 'P 1'
_cell_length_a 4.988
_cell_length_b 4.988
_cell_length_c 8.516
_cell_angle_alpha 72.97
_cell_angle_beta 72.97
_cell_angle_gamma 60.00
loop_
_atom_site_label
_atom_site_fract_x
_atom_site_fract_y
_atom_site_fract_z
Th1 0.000 0.000 0.000
Mg1 0.855 0.855 0.434
Mg2 0.145 0.145 0.566
Fe1 0.667 0.667 0.000
Fe2 0.333 0.333 0.000
Fe3 0.500 0.500 0.500
Fe4 0.413 0.413 0.258
Fe5 0.916 0.413 0.258
Fe6 0.413 0.916 0.258
Fe7 0.587 0.587 0.742
Fe8 0.587 0.084 0.742
Fe9 0.084 0.587 0.742
```